1.
## YThFeOs (PBE)

Data for a geometry-optimized YThFeOs structure.

## Properties
Energy of formation = -0.21 eV per formula unit

a b c (Å): 6.9470 6.9470 6.9470
angles (deg): 90.00 90.00 90.00
Space group F-43m (No. 216)
One atom of each set of equivalent atoms:
Y: 0.0000 0.0000 0.0000 (multiplicity 4)
Th: 0.0000 0.0000 0.5000 (multiplicity 4)
Fe: 0.2500 0.2500 0.7500 (multiplicity 4)
Os: 0.2500 0.2500 0.2500 (multiplicity 4)

---

2.
## LaMg2ScCu (PBE)

Data for a geometry-optimized LaMg2ScCu structure.

## Properties
Energy of formation = 0.21 eV per formula unit

a b c (Å): 4.9579 4.9579 5.1410
angles (deg): 90.00 90.00 90.00
Space group P4/mmm (No. 123)
One atom of each set of equivalent atoms:
La: 0.0000 0.0000 0.0000 (multiplicity 1)
Mg: 0.0000 0.5000 0.5000 (multiplicity 2)
Sc: 0.5000 0.5000 0.0000 (multiplicity 1)
Cu: 0.5000 0.5000 0.5000 (multiplicity 1)

---

3.
## OsSeCl (PBE)

Data for a geometry-optimized OsSeCl structure.

a b c (Å): 6.2211 6.2211 6.2211
angles (deg): 90.00 90.00 90.00
Space group F-43m (No. 216)
One atom of each set of equivalent atoms:
Os: 0.0000 0.0000 0.0000 (multiplicity 4)
Se: 0.2500 0.2500 0.2500 (multiplicity 4)
Cl: 0.0000 0.0000 0.5000 (multiplicity 4)

---

4.
## SmTmMgAu (PBE)

Data for a geometry-optimized SmTmMgAu structure.

## Properties
Energy of formation = -1.58 eV per formula unit

a b c (Å): 7.3753 7.3753 7.3753
angles (deg): 90.00 90.00 90.00
Space group F-43m (No. 216)
One atom of each set of equivalent atoms:
Sm: 0.0000 0.0000 0.0000 (multiplicity 4)
Tm: 0.0000 0.0000 0.5000 (multiplicity 4)
Mg: 0.2500 0.2500 0.2500 (multiplicity 4)
Au: 0.2500 0.2500 0.7500 (multiplicity 4)

---

5.
## CrAu2Cl (PBE)

Data for a geometry-optimized CrAu2Cl structure.

## Properties
Polymorph energy (0 for the lowest one) = 0.06 eV/f.u.

a b c (Å): 3.8890 3.0457 7.4506
angles (deg): 90.00 101.24 90.00
Space group Pm (No. 6)
One atom of each set of equivalent atoms:
Cr: 0.0000 0.0000 0.0000 (multiplicity 1)
Au: 0.4334 0.5000 0.8182 (multiplicity 1)
Au: 0.8587 0.0000 0.6179 (multiplicity 1)
Cl: 0.0954 0.5000 0.2393 (multiplicity 1)

---

6.
## BeSiS3 (PBE)

Data for a geometry-optimized BeSiS3 structure.

## Properties
Polymorph energy (0 for the lowest one) = 0.96 eV/f.u.

a b c (Å): 4.4764 4.4764 4.4764
angles (deg): 90.00 90.00 90.00
Space group Pm-3m (No. 221)
One atom of each set of equivalent atoms:
Be: 0.0000 0.0000 0.0000 (multiplicity 1)
Si: 0.5000 0.5000 0.5000 (multiplicity 1)
S: 0.0000 0.5000 0.5000 (multiplicity 3)

---

7.
## Ac2HoSb3Ir4 (PBE)

Data for a geometry-optimized Ac2HoSb3Ir4 structure.

a b c (Å): 4.4760 4.4760 11.6181
angles (deg): 90.00 90.00 90.00
Space group P-4m2 (No. 115)
One atom of each set of equivalent atoms:
Ac: 0.0000 0.5000 0.2396 (multiplicity 2)
Ho: 0.0000 0.0000 0.5000 (multiplicity 1)
Sb: 0.0000 0.5000 0.8719 (multiplicity 2)
Sb: 0.5000 0.5000 0.5000 (multiplicity 1)
Ir: 0.0000 0.0000 0.0000 (multiplicity 1)
Ir: 0.0000 0.5000 0.6452 (multiplicity 2)
Ir: 0.5000 0.5000 0.0000 (multiplicity 1)

---

8.
## KNb2Re (PBE)

Data for a geometry-optimized KNb2Re structure.

## Properties
Energy of formation = 4.65 eV per formula unit
Polymorph energy (0 for the lowest one) = 0.00 eV/f.u.

a b c (Å): 6.7131 6.7131 6.7131
angles (deg): 90.00 90.00 90.00
Space group Fm-3m (No. 225)
One atom of each set of equivalent atoms:
K: 0.0000 0.0000 0.0000 (multiplicity 4)
Nb: 0.2500 0.2500 0.2500 (multiplicity 8)
Re: 0.0000 0.0000 0.5000 (multiplicity 4)

---

9.
## HfBRh3 (PBE)

Data for a geometry-optimized HfBRh3 structure.

## Properties
Energy of formation = -3.19 eV per formula unit
Polymorph energy (0 for the lowest one) = 0.74 eV/f.u.

a b c (Å): 5.5893 5.5893 16.1648
angles (deg): 90.00 90.00 120.00
Space group R-3m (No. 166, hexagonal axes)
One atom of each set of equivalent atoms:
Hf: 0.0000 0.0000 0.1124 (multiplicity 6)
B: 0.0000 0.0000 0.3289 (multiplicity 6)
Rh: 0.0049 0.5024 0.0876 (multiplicity 18)

---

10.
## LiAcHgSb (PBE)

Data for a geometry-optimized LiAcHgSb structure.

a b c (Å): 7.7236 7.7236 7.7236
angles (deg): 90.00 90.00 90.00
Space group F-43m (No. 216)
One atom of each set of equivalent atoms:
Li: 0.0000 0.0000 0.0000 (multiplicity 4)
Ac: 0.0000 0.0000 0.5000 (multiplicity 4)
Hg: 0.2500 0.2500 0.2500 (multiplicity 4)
Sb: 0.2500 0.2500 0.7500 (multiplicity 4)

---

11.
## DyTh4Sn4 (PBE)

Data for a geometry-optimized DyTh4Sn4 structure.

## Properties
Energy of formation = -2.71 eV per formula unit

a b c (Å): 9.1988 9.1988 6.3099
angles (deg): 90.00 90.00 90.00
Space group P4_2/n (No. 86, origin choice 2)
One atom of each set of equivalent atoms:
Dy: 0.2500 0.2500 0.2500 (multiplicity 2)
Th: 0.0830 0.8235 0.6004 (multiplicity 8)
Sn: 0.0489 0.1366 0.8858 (multiplicity 8)

---

12.
## AsOsSe4 (PBE)

Data for a geometry-optimized AsOsSe4 structure.

a b c (Å): 7.8604 7.8604 7.8604
angles (deg): 90.00 90.00 90.00
Space group F-43m (No. 216)
One atom of each set of equivalent atoms:
As: 0.0000 0.0000 0.0000 (multiplicity 4)
Os: 0.2500 0.2500 0.7500 (multiplicity 4)
Se: 0.1237 0.1237 0.3763 (multiplicity 16)

---

13.
## Li3ScSb2 (PBE)

Data for a geometry-optimized Li3ScSb2 structure.

a b c (Å): 4.3660 8.2157 7.0366
angles (deg): 90.00 90.00 90.00
Space group Pmc2_1 (No. 26)
One atom of each set of equivalent atoms:
Li: 0.0000 0.0772 0.0000 (multiplicity 2)
Li: 0.0000 0.3078 0.3818 (multiplicity 2)
Li: 0.5000 0.1667 0.6712 (multiplicity 2)
Sc: 0.5000 0.4492 0.0510 (multiplicity 2)
Sb: 0.0000 0.3707 0.7720 (multiplicity 2)
Sb: 0.5000 0.1555 0.2690 (multiplicity 2)

---

14.
## SrTbCdCu (PBE)

Data for a geometry-optimized SrTbCdCu structure.

## Properties
Energy of formation = -0.40 eV per formula unit

a b c (Å): 7.5264 7.5264 7.5264
angles (deg): 90.00 90.00 90.00
Space group F-43m (No. 216)
One atom of each set of equivalent atoms:
Sr: 0.0000 0.0000 0.0000 (multiplicity 4)
Tb: 0.0000 0.0000 0.5000 (multiplicity 4)
Cd: 0.2500 0.2500 0.2500 (multiplicity 4)
Cu: 0.2500 0.2500 0.7500 (multiplicity 4)

---

15.
## Tb6PrEr3Tm2 (PBE)

Data for a geometry-optimized Tb6PrEr3Tm2 structure.

## Properties
Energy of formation = 0.22 eV per formula unit

a b c (Å): 6.1430 10.6307 11.7555
angles (deg): 90.00 99.98 90.00
Space group C2/m (No. 12)
One atom of each set of equivalent atoms:
Tb: 0.2482 0.1672 0.2482 (multiplicity 8)
Tb: 0.2501 0.0000 0.7517 (multiplicity 4)
Pr: 0.0000 0.5000 0.5000 (multiplicity 2)
Er: 0.0000 0.0000 0.0000 (multiplicity 2)
Er: 0.0000 0.3329 0.0000 (multiplicity 4)
Tm: 0.0000 0.1667 0.5000 (multiplicity 4)

---

16.
## PrZr2Tl (PBE)

Data for a geometry-optimized PrZr2Tl structure.

## Properties
Energy of formation = -0.03 eV per formula unit
Polymorph energy (0 for the lowest one) = 0.00 eV/f.u.

a b c (Å): 4.6823 4.6823 4.6067
angles (deg): 90.00 90.00 90.00
Space group P4/mmm (No. 123)
One atom of each set of equivalent atoms:
Pr: 0.0000 0.0000 0.0000 (multiplicity 1)
Zr: 0.0000 0.5000 0.5000 (multiplicity 2)
Tl: 0.5000 0.5000 0.0000 (multiplicity 1)

---

17.
## SrRh2Au (PBE)

Data for a geometry-optimized SrRh2Au structure.

## Properties
Energy of formation = 0.47 eV per formula unit

a b c (Å): 6.7761 6.7761 6.7761
angles (deg): 90.00 90.00 90.00
Space group F-43m (No. 216)
One atom of each set of equivalent atoms:
Sr: 0.0000 0.0000 0.0000 (multiplicity 4)
Rh: 0.0000 0.0000 0.5000 (multiplicity 4)
Rh: 0.2500 0.2500 0.7500 (multiplicity 4)
Au: 0.2500 0.2500 0.2500 (multiplicity 4)

---

18.
## NbGa2Fe (PBE)

Data for a geometry-optimized NbGa2Fe structure.

## Properties
Energy of formation = 0.92 eV per formula unit

a b c (Å): 3.7280 3.7280 18.7796
angles (deg): 90.00 90.00 90.00
Space group I-42d (No. 122)
One atom of each set of equivalent atoms:
Nb: 0.0000 0.0000 0.0000 (multiplicity 4)
Ga: 0.2410 0.2500 0.6250 (multiplicity 8)
Fe: 0.0000 0.0000 0.5000 (multiplicity 4)

---

19.
## Dy6SbC3 (PBE)

Data for a geometry-optimized Dy6SbC3 structure.

a b c (Å): 10.3935 3.6573 11.7178
angles (deg): 90.00 102.29 90.00
Space group P2_1/m (No. 11)
One atom of each set of equivalent atoms:
Dy: 0.0234 0.2500 0.1257 (multiplicity 2)
Dy: 0.1107 0.7500 0.4501 (multiplicity 2)
Dy: 0.1794 0.2500 0.7490 (multiplicity 2)
Dy: 0.2948 0.7500 0.0225 (multiplicity 2)
Dy: 0.3054 0.2500 0.3031 (multiplicity 2)
Dy: 0.4203 0.2500 0.5856 (multiplicity 2)
Sb: 0.4548 0.7500 0.8202 (multiplicity 2)
C: 0.0296 0.7500 0.6533 (multiplicity 2)
C: 0.1394 0.2500 0.9481 (multiplicity 2)
C: 0.3518 0.7500 0.4422 (multiplicity 2)

---

20.
## Ac2GaIrRu (PBE)

Data for a geometry-optimized Ac2GaIrRu structure.

## Properties
Energy of formation = -2.50 eV per formula unit

a b c (Å): 4.4580 4.4580 13.4737
angles (deg): 90.00 90.00 90.00
Space group P4/nmm (No. 129, origin choice 2)
One atom of each set of equivalent atoms:
Ac: 0.2500 0.2500 0.1054 (multiplicity 2)
Ac: 0.2500 0.2500 0.6677 (multiplicity 2)
Ga: 0.2500 0.2500 0.4120 (multiplicity 2)
Ir: 0.2500 0.2500 0.8806 (multiplicity 2)
Ru: 0.2500 0.7500 0.5000 (multiplicity 2)

---

21.
## Ti3CuAg (PBE)

Data for a geometry-optimized Ti3CuAg structure.

## Properties
Energy of formation = 3.46 eV per formula unit
Polymorph energy (0 for the lowest one) = 0.00 eV/f.u.

a b c (Å): 4.6085 4.6085 4.6085
angles (deg): 90.00 90.00 90.00
Space group Pm-3m (No. 221)
One atom of each set of equivalent atoms:
Ti: 0.0000 0.0000 0.5000 (multiplicity 3)
Cu: 0.0000 0.0000 0.0000 (multiplicity 1)
Ag: 0.5000 0.5000 0.5000 (multiplicity 1)

---

22.
## CoH2W (PBE)

Data for a geometry-optimized CoH2W structure.

## Properties
Polymorph energy (0 for the lowest one) = 0.01 eV/f.u.

a b c (Å): 2.7959 2.7959 14.2919
angles (deg): 90.00 90.00 120.00
Space group R-3m (No. 166, hexagonal axes)
One atom of each set of equivalent atoms:
Co: 0.0000 0.0000 0.0000 (multiplicity 3)
H: 0.0000 0.0000 0.3696 (multiplicity 6)
W: 0.0000 0.0000 0.5000 (multiplicity 3)

---

23.
## YMn2Br (PBE)

Data for a geometry-optimized YMn2Br structure.

## Properties
Polymorph energy (0 for the lowest one) = 1.15 eV/f.u.

a b c (Å): 10.2079 3.4036 5.7372
angles (deg): 90.00 118.61 90.00
Space group Cm (No. 8)
One atom of each set of equivalent atoms:
Y: 0.0000 0.0000 0.0000 (multiplicity 2)
Mn: 0.1766 0.0000 0.6118 (multiplicity 2)
Mn: 0.4146 0.0000 0.5035 (multiplicity 2)
Br: 0.2470 0.5000 0.0723 (multiplicity 2)

---

24.
## Li2LaCu (PBE)

Data for a geometry-optimized Li2LaCu structure.

## Properties
Energy of formation = 0.46 eV per formula unit
Polymorph energy (0 for the lowest one) = 0.57 eV/f.u.

a b c (Å): 4.1655 4.1655 10.4975
angles (deg): 90.00 90.00 90.00
Space group I4/mmm (No. 139)
One atom of each set of equivalent atoms:
Li: 0.0000 0.5000 0.2500 (multiplicity 4)
La: 0.0000 0.0000 0.0000 (multiplicity 2)
Cu: 0.0000 0.0000 0.5000 (multiplicity 2)

---

25.
## KAs (PBE)

Data for a geometry-optimized KAs structure.

## Properties
Energy of formation = -0.61 eV per formula unit
Polymorph energy (0 for the lowest one) = 0.31 eV/f.u.

a b c (Å): 5.9495 10.4027 15.9620
angles (deg): 90.00 90.00 90.00
Space group Fddd (No. 70, origin choice 2)
One atom of each set of equivalent atoms:
K: 0.1250 0.2885 0.1250 (multiplicity 16)
As: 0.1250 0.1250 0.5508 (multiplicity 16)

---

Computed total DFT energy (no corrections) (eV per formula unit) in order:
-33.78; -18.33; -12.19; -15.65; -18.21; -18.53; -67.67; -29.03; -41.87; -12.78; -53.01; -21.30; -24.56; -11.73; -54.97; -24.28; -19.19; -23.67; -63.27; -31.88; -27.18; -26.00; -25.69; -12.39; -6.36